A.
# Cu2Ag, relaxed, DFT PBE-GGA
# Crystal system = monoclinic
# Calculated density = 9.35 g/cm3
data_Cu2Ag
_chemical_formula_sum 'Cu12 Ag6'
_cell_length_a 13.702
_cell_length_b 2.768
_cell_length_c 6.639
_cell_angle_alpha 90.00
_cell_angle_beta 96.12
_cell_angle_gamma 90.00
_symmetry_space_group_name_H-M 'C 1 m 1'
_symmetry_Int_Tables_number 8
_symmetry_space_group_name_Hall 'C -2y'
loop_
_atom_site_label
_atom_site_type_symbol
_atom_site_fract_x
_atom_site_fract_y
_atom_site_fract_z
Cu1 Cu 0.000 0.000 0.000
Cu2 Cu 0.059 0.500 0.310
Cu3 Cu 0.165 0.500 0.014
Cu4 Cu 0.267 0.500 0.714
Cu5 Cu 0.333 0.000 0.011
Cu6 Cu 0.405 0.500 0.306
Ag1 Ag 0.103 0.000 0.665
Ag2 Ag 0.236 0.000 0.353
Ag3 Ag 0.424 0.000 0.657


B.
# Cu2Ag, relaxed, DFT PBE-GGA
# Crystal system = orthorhombic
# Calculated density = 9.34 g/cm3
data_Cu2Ag
_chemical_formula_sum 'Cu12 Ag6'
_cell_length_a 2.733
_cell_length_b 3.670
_cell_length_c 24.981
_cell_angle_alpha 90.00
_cell_angle_beta 90.00
_cell_angle_gamma 90.00
_symmetry_space_group_name_H-M 'I m m 2'
_symmetry_Int_Tables_number 44
_symmetry_space_group_name_Hall 'I 2 -2'
loop_
_atom_site_label
_atom_site_type_symbol
_atom_site_fract_x
_atom_site_fract_y
_atom_site_fract_z
Cu1 Cu 0.000 0.000 0.000
Cu2 Cu 0.000 0.000 0.099
Cu3 Cu 0.000 0.000 0.334
Cu4 Cu 0.000 0.000 0.450
Cu5 Cu 0.000 0.000 0.550
Cu6 Cu 0.000 0.000 0.785
Ag1 Ag 0.000 0.000 0.226
Ag2 Ag 0.000 0.000 0.658
Ag3 Ag 0.000 0.000 0.892


Stability verdict: B, ahead by 9 meV per atom


A.
# NaDyB4, relaxed, DFT PBE-GGA
# Total magnetization = 0.01 Bohr magnetons per cell
# Crystal system = hexagonal
# Calculated density = 5.34 g/cm3
data_NaDyB4
_chemical_formula_sum 'Na1 Dy1 B4'
_cell_length_a 3.1924
_cell_length_b 3.1924
_cell_length_c 8.0545
_cell_angle_alpha 90.00
_cell_angle_beta 90.00
_cell_angle_gamma 120.00
_symmetry_space_group_name_H-M 'P 6/m m m'
_symmetry_Int_Tables_number 191
_symmetry_space_group_name_Hall '-P 6 2'
loop_
_atom_site_label
_atom_site_type_symbol
_atom_site_fract_x
_atom_site_fract_y
_atom_site_fract_z
Na1 Na 0.0000 0.0000 0.0000
Dy1 Dy 0.0000 0.0000 0.5000
B1 B 0.3333 0.6667 0.2624


B.
# NaDyB4, relaxed, DFT PBE-GGA
# Total magnetization = 0.00 Bohr magnetons per cell
# Crystal system = orthorhombic
# Calculated density = 5.45 g/cm3
data_NaDyB4
_chemical_formula_sum 'Na2 Dy2 B8'
_cell_length_a 3.156
_cell_length_b 5.542
_cell_length_c 7.967
_cell_angle_alpha 90.00
_cell_angle_beta 90.00
_cell_angle_gamma 90.00
_symmetry_space_group_name_H-M 'I m m m'
_symmetry_Int_Tables_number 71
_symmetry_space_group_name_Hall '-I 2 2'
loop_
_atom_site_label
_atom_site_type_symbol
_atom_site_fract_x
_atom_site_fract_y
_atom_site_fract_z
Na1 Na 0.000 0.000 0.000
Dy1 Dy 0.000 0.000 0.500
B1 B 0.000 0.320 0.243


Stability verdict: B, ahead by 25 meV per atom


A.
# Cu2Ag3, relaxed, DFT PBE-GGA
# Crystal system = trigonal
# Calculated density = 9.58 g/cm3
data_Cu2Ag3
_chemical_formula_sum 'Cu12 Ag18'
_cell_length_a 2.8490
_cell_length_b 2.8490
_cell_length_c 66.6699
_cell_angle_alpha 90.00
_cell_angle_beta 90.00
_cell_angle_gamma 120.00
_symmetry_space_group_name_H-M 'R -3 m'
_symmetry_Int_Tables_number 166
_symmetry_space_group_name_Hall '-R 3 2"'
loop_
_atom_site_label
_atom_site_type_symbol
_atom_site_fract_x
_atom_site_fract_y
_atom_site_fract_z
Cu1 Cu 0.0000 0.0000 0.1526
Cu2 Cu 0.0000 0.0000 0.2458
Ag1 Ag 0.0000 0.0000 0.0553
Ag2 Ag 0.0000 0.0000 0.3518
Ag3 Ag 0.0000 0.0000 0.4533


B.
# Cu2Ag3, relaxed, DFT PBE-GGA
# Crystal system = monoclinic
# Calculated density = 9.61 g/cm3
data_Cu2Ag3
_chemical_formula_sum 'Cu8 Ag12'
_cell_length_a 11.896
_cell_length_b 2.852
_cell_length_c 9.342
_cell_angle_alpha 90.00
_cell_angle_beta 100.49
_cell_angle_gamma 90.00
_symmetry_space_group_name_H-M 'C 1 m 1'
_symmetry_Int_Tables_number 8
_symmetry_space_group_name_Hall 'C -2y'
loop_
_atom_site_label
_atom_site_type_symbol
_atom_site_fract_x
_atom_site_fract_y
_atom_site_fract_z
Cu1 Cu 0.000 0.000 0.000
Cu2 Cu 0.013 0.500 0.529
Cu3 Cu 0.101 0.500 0.810
Cu4 Cu 0.192 0.000 0.623
Ag1 Ag 0.100 0.000 0.331
Ag2 Ag 0.187 0.500 0.109
Ag3 Ag 0.297 0.000 0.907
Ag4 Ag 0.309 0.500 0.425
Ag5 Ag 0.403 0.000 0.205
Ag6 Ag 0.409 0.500 0.714


Stability verdict: B, ahead by 6 meV per atom


A.
# TaSbPO, relaxed, DFT PBE-GGA
# Total magnetization = 0.02 Bohr magnetons per cell
# Crystal system = tetragonal
# Calculated density = 8.41 g/cm3
data_TaSbPO
_chemical_formula_sum 'Ta2 Sb2 P2 O2'
_cell_length_a 3.915
_cell_length_b 3.915
_cell_length_c 9.007
_cell_angle_alpha 90.00
_cell_angle_beta 90.00
_cell_angle_gamma 90.00
_symmetry_space_group_name_H-M 'P 4/n m m'
_symmetry_Int_Tables_number 129
loop_
_symmetry_equiv_pos_as_xyz
'x,y,z'
'-x,-y,-z'
'-y+1/2,x,z'
'y+1/2,-x,-z'
'-x+1/2,-y+1/2,z'
'x+1/2,y+1/2,-z'
'y,-x+1/2,z'
'-y,x+1/2,-z'
'x+1/2,-y,-z'
'-x+1/2,y,z'
'-y,-x,-z'
'y,x,z'
'-x,y+1/2,-z'
'x,-y+1/2,z'
'y+1/2,x+1/2,-z'
'-y+1/2,-x+1/2,z'
loop_
_atom_site_label
_atom_site_type_symbol
_atom_site_fract_x
_atom_site_fract_y
_atom_site_fract_z
Ta1 Ta 0.250 0.750 0.000
Sb1 Sb 0.250 0.250 0.368
P1 P 0.250 0.250 0.815
O1 O 0.250 0.750 0.500


B.
# TaSbPO, relaxed, DFT PBE-GGA
# Total magnetization = 0.00 Bohr magnetons per cell
# Crystal system = orthorhombic
# Calculated density = 6.79 g/cm3
data_TaSbPO
_chemical_formula_sum 'Ta2 Sb2 P2 O2'
_cell_length_a 3.394
_cell_length_b 6.545
_cell_length_c 7.694
_cell_angle_alpha 90.00
_cell_angle_beta 90.00
_cell_angle_gamma 90.00
_symmetry_space_group_name_H-M 'P m c 21'
_symmetry_Int_Tables_number 26
_symmetry_space_group_name_Hall 'P 2c -2'
loop_
_atom_site_label
_atom_site_type_symbol
_atom_site_fract_x
_atom_site_fract_y
_atom_site_fract_z
Ta1 Ta 0.000 0.100 0.000
Sb1 Sb 0.500 0.275 0.565
P1 P 0.000 0.208 0.309
O1 O 0.500 0.220 0.933


Stability verdict: B, ahead by 314 meV per atom


A.
# NbBNO, relaxed, DFT PBE-GGA
# Total magnetization = 0.00 Bohr magnetons per cell
# Crystal system = orthorhombic
# Calculated density = 5.99 g/cm3
data_NbBNO
_chemical_formula_sum 'Nb2 B2 N2 O2'
_cell_length_a 2.778
_cell_length_b 5.948
_cell_length_c 4.485
_cell_angle_alpha 90.00
_cell_angle_beta 90.00
_cell_angle_gamma 90.00
_symmetry_space_group_name_H-M 'P m c 21'
_symmetry_Int_Tables_number 26
_symmetry_space_group_name_Hall 'P 2c -2'
loop_
_atom_site_label
_atom_site_type_symbol
_atom_site_fract_x
_atom_site_fract_y
_atom_site_fract_z
Nb1 Nb 0.000 0.136 0.000
B1 B 0.500 0.393 0.572
N1 N 0.500 0.401 0.901
O1 O 0.000 0.247 0.489


B.
# NbBNO, relaxed, DFT PBE-GGA
# Total magnetization = 0.00 Bohr magnetons per cell
# Crystal system = orthorhombic
# Calculated density = 6.13 g/cm3
data_NbBNO
_chemical_formula_sum 'Nb2 B2 N2 O2'
_cell_length_a 2.703
_cell_length_b 6.110
_cell_length_c 4.384
_cell_angle_alpha 90.00
_cell_angle_beta 90.00
_cell_angle_gamma 90.00
_symmetry_space_group_name_H-M 'P m c 21'
_symmetry_Int_Tables_number 26
_symmetry_space_group_name_Hall 'P 2c -2'
loop_
_atom_site_label
_atom_site_type_symbol
_atom_site_fract_x
_atom_site_fract_y
_atom_site_fract_z
Nb1 Nb 0.000 0.135 0.000
B1 B 0.500 0.364 0.552
N1 N 0.000 0.238 0.496
O1 O 0.500 0.417 0.902


Stability verdict: B, ahead by 162 meV per atom


A.
# GdAuNO, relaxed, DFT PBE-GGA
# Total magnetization = 0.00 Bohr magnetons per cell
# Crystal system = tetragonal
# Calculated density = 11.32 g/cm3
data_GdAuNO
_chemical_formula_sum 'Gd2 Au2 N2 O2'
_cell_length_a 4.987
_cell_length_b 4.987
_cell_length_c 4.535
_cell_angle_alpha 90.00
_cell_angle_beta 90.00
_cell_angle_gamma 90.00
_symmetry_space_group_name_H-M 'P 4/n m m'
_symmetry_Int_Tables_number 129
loop_
_symmetry_equiv_pos_as_xyz
'x,y,z'
'-x,-y,-z'
'-y+1/2,x,z'
'y+1/2,-x,-z'
'-x+1/2,-y+1/2,z'
'x+1/2,y+1/2,-z'
'y,-x+1/2,z'
'-y,x+1/2,-z'
'x+1/2,-y,-z'
'-x+1/2,y,z'
'-y,-x,-z'
'y,x,z'
'-x,y+1/2,-z'
'x,-y+1/2,z'
'y+1/2,x+1/2,-z'
'-y+1/2,-x+1/2,z'
loop_
_atom_site_label
_atom_site_type_symbol
_atom_site_fract_x
_atom_site_fract_y
_atom_site_fract_z
Gd1 Gd 0.250 0.750 0.000
Au1 Au 0.250 0.250 0.495
N1 N 0.250 0.250 0.995
O1 O 0.250 0.750 0.500


B.
# GdAuNO, relaxed, DFT PBE-GGA
# Total magnetization = 0.01 Bohr magnetons per cell
# Crystal system = orthorhombic
# Calculated density = 10.01 g/cm3
data_GdAuNO
_chemical_formula_sum 'Gd2 Au2 N2 O2'
_cell_length_a 4.078
_cell_length_b 6.335
_cell_length_c 4.935
_cell_angle_alpha 90.00
_cell_angle_beta 90.00
_cell_angle_gamma 90.00
_symmetry_space_group_name_H-M 'P m c 21'
_symmetry_Int_Tables_number 26
_symmetry_space_group_name_Hall 'P 2c -2'
loop_
_atom_site_label
_atom_site_type_symbol
_atom_site_fract_x
_atom_site_fract_y
_atom_site_fract_z
Gd1 Gd 0.000 0.199 0.000
Au1 Au 0.500 0.252 0.498
N1 N 0.000 0.168 0.499
O1 O 0.500 0.327 0.996


Stability verdict: B, ahead by 58 meV per atom